(w)
First-principles (PBE) data for crystalline MoIr2Au at its relaxed geometry, as listed in Alexandria.

Unit cell a=4.865 b=4.865 c=4.857 alpha=99.54 beta=99.54 gamma=33.30
Fractional positions:
Mo1 0.000 0.000 0.000
Ir1 0.258 0.258 0.765
Ir2 0.742 0.742 0.235
Au1 0.500 0.500 0.500

* SG: No. 12

=====

(x)
First-principles (PBE) data for crystalline MoIr2Au at its relaxed geometry, as listed in Alexandria.

Unit cell a=4.479 b=4.479 c=4.479 alpha=60.00 beta=60.00 gamma=60.00
Fractional positions:
Mo1 0.000 0.000 0.000
Ir1 0.250 0.250 0.250
Ir2 0.750 0.750 0.750
Au1 0.500 0.500 0.500

* SG: No. 225

=====

(y)
First-principles (PBE) data for crystalline MoIr2Au at its relaxed geometry, as listed in Alexandria.

Unit cell a=5.756 b=5.756 c=5.756 alpha=103.22 beta=103.22 gamma=122.86
Fractional positions:
Mo1 0.000 0.000 0.000
Mo2 0.750 0.250 0.500
Ir1 0.088 0.625 0.963
Ir2 0.375 0.338 0.463
Ir3 0.662 0.125 0.037
Ir4 0.875 0.912 0.537
Au1 0.250 0.750 0.500
Au2 0.500 0.500 0.000

* SG: No. 122

=====

Name the least stable of them. (y).

=====

(w)
First-principles (PBE) data for crystalline MoIr2Au at its relaxed geometry, as listed in Alexandria.

Unit cell a=2.744 b=4.697 c=4.911 alpha=90.00 beta=91.02 gamma=90.00
Fractional positions:
Mo1 0.000 0.000 0.000
Ir1 0.246 0.500 0.757
Ir2 0.754 0.500 0.243
Au1 0.500 0.000 0.500

* SG: No. 10

=====

(x)
First-principles (PBE) data for crystalline MoIr2Au at its relaxed geometry, as listed in Alexandria.

Unit cell a=4.928 b=4.928 c=4.928 alpha=133.43 beta=133.43 gamma=67.97
Fractional positions:
Mo1 0.000 0.000 0.000
Ir1 0.500 0.500 0.000
Ir2 0.750 0.250 0.500
Au1 0.250 0.750 0.500

* SG: No. 119

=====

(y)
First-principles (PBE) data for crystalline MoIr2Au at its relaxed geometry, as listed in Alexandria.

Unit cell a=2.765 b=2.765 c=8.147 alpha=90.00 beta=90.00 gamma=90.00
Fractional positions:
Mo1 0.000 0.000 0.000
Ir1 0.000 0.000 0.525
Ir2 0.500 0.500 0.759
Au1 0.500 0.500 0.261

* SG: No. 99

=====

Name the least stable of them. (w).

=====

(w)
First-principles (PBE) data for crystalline MoIr2Au at its relaxed geometry, as listed in Alexandria.

Unit cell a=4.015 b=4.015 c=3.860 alpha=90.00 beta=90.00 gamma=90.00
Fractional positions:
Mo1 0.000 0.000 0.000
Ir1 0.000 0.500 0.500
Ir2 0.500 0.000 0.500
Au1 0.500 0.500 0.000

* SG: No. 123

=====

(x)
First-principles (PBE) data for crystalline MoIr2Au at its relaxed geometry, as listed in Alexandria.

Unit cell a=2.820 b=2.820 c=7.910 alpha=90.00 beta=90.00 gamma=90.00
Fractional positions:
Mo1 0.000 0.000 0.000
Ir1 0.500 0.500 0.230
Ir2 0.500 0.500 0.770
Au1 0.000 0.000 0.500

* SG: No. 123

=====

Name the least stable of them. (w).